Entry P
A relaxed TmScRh crystal, computed with PBE-GGA.

Unit cell a=3.324 b=4.627 c=4.627 alpha=120.00 beta=90.00 gamma=90.00
Fractional positions:
1 Rh 0.023 0.000 0.000
2 Tm 0.711 0.667 0.333
3 Sc 0.266 0.333 0.667

Computed properties:
The crystal system is trigonal. As for the symmetry: P3m1 (156). The calculation puts the total moment at 0.0 μB/cell.

---

Entry Q
A relaxed TmScRh crystal, computed with PBE-GGA.

Unit cell a=3.288 b=3.288 c=6.497 alpha=104.66 beta=104.66 gamma=90.00
Fractional positions:
1 Rh 0.673 0.673 0.346
2 Sc 0.299 0.299 0.597
3 Tm 0.028 0.028 0.056

Computed properties:
The crystal system is tetragonal. As for the symmetry: I4mm (107). The calculation puts the total moment at 0.0 μB/cell.

---

Q: Which of them is the most stable? A: entry Q.

---

Entry P
A relaxed TmScRh crystal, computed with PBE-GGA.

Unit cell a=4.630 b=4.630 c=4.630 alpha=60.00 beta=60.00 gamma=60.00
Fractional positions:
1 Sc 0.500 0.500 0.500
2 Rh 0.250 0.250 0.250
3 Tm 0.000 0.000 0.000

Computed properties:
The crystal system is cubic. As for the symmetry: F-43m (216). The calculation puts the total moment at 0.0 μB/cell.

---

Entry Q
A relaxed TmScRh crystal, computed with PBE-GGA.

Unit cell a=7.056 b=8.364 c=8.364 alpha=64.80 beta=65.05 gamma=65.05
Fractional positions:
1 Rh 0.753 0.250 0.750
2 Tm 0.342 0.250 0.750
3 Sc 0.010 0.500 0.500
4 Sc 0.753 0.872 0.872
5 Tm 0.342 0.750 0.250
6 Sc 0.010 0.000 0.000
7 Rh 0.086 0.667 0.667
8 Sc 0.497 0.128 0.128
9 Rh 0.420 0.333 0.333
10 Tm 0.754 0.956 0.456
11 Sc 0.753 0.372 0.372
12 Tm 0.165 0.044 0.544
13 Rh 0.753 0.750 0.250
14 Rh 0.086 0.167 0.167
15 Rh 0.420 0.833 0.833
16 Tm 0.753 0.456 0.956
17 Sc 0.497 0.628 0.628
18 Tm 0.165 0.544 0.044

Computed properties:
The crystal system is orthorhombic. As for the symmetry: Amm2 (38). The calculation puts the total moment at 0.0 μB/cell.

---

Q: Which of them is the most stable? A: entry Q.

---

Entry P
A relaxed Tm2ScRh crystal, computed with PBE-GGA.

Unit cell a=3.563 b=3.563 c=9.471 alpha=79.16 beta=79.16 gamma=60.00
Fractional positions:
1 Tm 0.732 0.732 0.805
2 Sc 0.500 0.500 0.500
3 Tm 0.268 0.268 0.195
4 Rh 0.000 0.000 0.000

Computed properties:
The crystal system is trigonal. As for the symmetry: R-3m (166). The calculation puts the total moment at 1.1 μB/cell.

---

Entry Q
A relaxed Tm2ScRh crystal, computed with PBE-GGA.

Unit cell a=3.690 b=6.108 c=8.949 alpha=90.00 beta=90.00 gamma=107.58
Fractional positions:
1 Tm 0.637 0.273 0.435
2 Tm 0.363 0.727 0.565
3 Rh 0.259 0.519 0.250
4 Sc 0.072 0.143 0.750
5 Tm 0.637 0.273 0.065
6 Tm 0.363 0.727 0.935
7 Sc 0.928 0.857 0.250
8 Rh 0.741 0.481 0.750

Computed properties:
The crystal system is orthorhombic. As for the symmetry: Cmcm (63). The calculation puts the total moment at 0.0 μB/cell.

---

Entry R
A relaxed Tm2ScRh crystal, computed with PBE-GGA.

Unit cell a=3.439 b=3.439 c=8.060 alpha=90.00 beta=90.00 gamma=90.00
Fractional positions:
1 Rh 0.500 0.500 0.000
2 Sc 0.500 0.500 0.500
3 Tm 0.000 0.000 0.200
4 Tm 0.000 0.000 0.800

Computed properties:
The crystal system is tetragonal. As for the symmetry: P4/mmm (123). The calculation puts the total moment at 0.9 μB/cell.

---

Q: Which of them is the most stable? A: entry Q.

---

Entry P
A relaxed TmScRh4 crystal, computed with PBE-GGA.

Unit cell a=3.005 b=4.513 c=7.966 alpha=90.00 beta=90.01 gamma=90.00
Fractional positions:
1 Tm 0.501 0.497 0.998
2 Rh 0.001 0.497 0.706
3 Rh 0.501 0.997 0.225
4 Sc 0.001 0.997 0.498
5 Rh 0.001 0.497 0.290
6 Rh 0.501 0.997 0.772

Computed properties:
The crystal system is orthorhombic. As for the symmetry: Pmmm (47). The calculation puts the total moment at 0.0 μB/cell.

---

Entry Q
A relaxed TmScRh4 crystal, computed with PBE-GGA.

Unit cell a=3.244 b=5.253 c=6.983 alpha=107.34 beta=76.57 gamma=72.02
Fractional positions:
1 Rh 0.699 0.957 0.646
2 Tm 0.000 0.000 0.000
3 Rh 0.140 0.534 0.187
4 Rh 0.860 0.466 0.813
5 Rh 0.301 0.043 0.354
6 Sc 0.500 0.500 0.500

Computed properties:
The crystal system is monoclinic. As for the symmetry: C2/m (12). The calculation puts the total moment at 0.0 μB/cell.

---

Q: Which of them is the most stable? A: entry Q.

---

Entry P
A relaxed ScURh4 crystal, computed with PBE-GGA.

Unit cell a=4.207 b=7.636 c=12.431 alpha=90.00 beta=90.00 gamma=90.00
Fractional positions:
1 Sc 0.250 0.750 0.554
2 Rh 0.750 0.520 0.594
3 Sc 0.750 0.750 0.054
4 Rh 0.750 0.000 0.250
5 Sc 0.250 0.250 0.946
6 Rh 0.250 0.750 0.911
7 Rh 0.250 0.020 0.406
8 Rh 0.250 0.480 0.406
9 Rh 0.750 0.500 0.250
10 U 0.250 0.750 0.265
11 Rh 0.250 0.000 0.750
12 Rh 0.750 0.020 0.906
13 Rh 0.750 0.750 0.411
14 Rh 0.250 0.980 0.094
15 U 0.750 0.250 0.735
16 Rh 0.250 0.520 0.094
17 Rh 0.750 0.980 0.594
18 Rh 0.250 0.250 0.589
19 Rh 0.750 0.250 0.089
20 U 0.250 0.250 0.235
21 Sc 0.750 0.250 0.446
22 Rh 0.250 0.500 0.750
23 Rh 0.750 0.480 0.906
24 U 0.750 0.750 0.765

Computed properties:
The crystal system is orthorhombic. As for the symmetry: Cmcm (63). The calculation puts the total moment at 0.0 μB/cell.

---

Entry Q
A relaxed ScURh4 crystal, computed with PBE-GGA.

Unit cell a=5.257 b=5.257 c=5.257 alpha=60.00 beta=60.00 gamma=60.00
Fractional positions:
1 Sc 0.000 0.000 0.000
2 Rh 0.625 0.124 0.625
3 Rh 0.625 0.625 0.124
4 U 0.250 0.250 0.250
5 Rh 0.625 0.625 0.625
6 Rh 0.124 0.625 0.625

Computed properties:
The crystal system is cubic. As for the symmetry: F-43m (216). The calculation puts the total moment at 2.0 μB/cell.

---

Q: Which of them is the most stable? A: entry P.

---

Entry P
A relaxed ScV2Rh2 crystal, computed with PBE-GGA.

Unit cell a=4.151 b=4.151 c=5.793 alpha=69.01 beta=69.01 gamma=90.00
Fractional positions:
1 Sc 0.000 0.000 0.000
2 V 0.250 0.750 0.500
3 Rh 0.627 0.627 0.746
4 Rh 0.373 0.373 0.254
5 V 0.750 0.250 0.500

Computed properties:
The crystal system is tetragonal. As for the symmetry: I4/mmm (139). The calculation puts the total moment at 0.0 μB/cell.

---

Entry Q
A relaxed ScV2Rh2 crystal, computed with PBE-GGA.

Unit cell a=7.415 b=7.415 c=2.843 alpha=90.00 beta=90.00 gamma=90.00
Fractional positions:
1 V 0.661 0.839 0.500
2 V 0.839 0.339 0.500
3 Sc 0.000 0.000 0.000
4 V 0.161 0.661 0.500
5 V 0.339 0.161 0.500
6 Rh 0.134 0.366 0.000
7 Rh 0.366 0.866 0.000
8 Rh 0.634 0.134 0.000
9 Rh 0.866 0.634 0.000
10 Sc 0.500 0.500 0.000

Computed properties:
The crystal system is tetragonal. As for the symmetry: P4/mbm (127). The calculation puts the total moment at 3.2 μB/cell.

---

Q: Which of them is the most stable? A: entry P.

---

Entry P
A relaxed Sc2VRh crystal, computed with PBE-GGA.

Unit cell a=3.161 b=3.161 c=7.043 alpha=90.00 beta=90.00 gamma=90.00
Fractional positions:
1 V 0.500 0.500 0.500
2 Sc 0.000 0.000 0.234
3 Sc 0.000 0.000 0.766
4 Rh 0.500 0.500 0.000

Computed properties:
The crystal system is tetragonal. As for the symmetry: P4/mmm (123). The calculation puts the total moment at 0.0 μB/cell.

---

Entry Q
A relaxed Sc2VRh crystal, computed with PBE-GGA.

Unit cell a=3.326 b=4.619 c=4.619 alpha=90.00 beta=90.00 gamma=90.00
Fractional positions:
1 Sc 0.000 0.500 0.000
2 V 0.500 0.500 0.500
3 Sc 0.000 0.000 0.500
4 Rh 0.500 0.000 0.000

Computed properties:
The crystal system is tetragonal. As for the symmetry: P4/mmm (123). The calculation puts the total moment at 3.2 μB/cell.

---

Q: Which of them is the most stable? A: entry Q.

---

Entry P
A relaxed Sc2VRh crystal, computed with PBE-GGA.

Unit cell a=4.656 b=4.656 c=4.656 alpha=60.00 beta=60.00 gamma=60.00
Fractional positions:
1 Rh 0.500 0.500 0.500
2 Sc 0.250 0.250 0.250
3 V 0.000 0.000 0.000
4 Sc 0.750 0.750 0.750

Computed properties:
The crystal system is cubic. As for the symmetry: Fm-3m (225). The calculation puts the total moment at 3.6 μB/cell.

---

Entry Q
A relaxed Sc2VRh crystal, computed with PBE-GGA.

Unit cell a=7.303 b=7.303 c=5.920 alpha=51.92 beta=51.92 gamma=90.00
Fractional positions:
1 Sc 0.375 0.343 0.750
2 Sc 0.657 0.125 0.250
3 Sc 0.093 0.625 0.250
4 Rh 0.000 0.000 0.000
5 Sc 0.875 0.907 0.750
6 V 0.250 0.750 0.500
7 V 0.500 0.500 0.000
8 Rh 0.750 0.250 0.500

Computed properties:
The crystal system is tetragonal. As for the symmetry: I-42d (122). The calculation puts the total moment at 5.0 μB/cell.

---

Q: Which of them is the most stable? A: entry P.

---

Entry P
A relaxed ScRhW2 crystal, computed with PBE-GGA.

Unit cell a=5.216 b=5.216 c=5.216 alpha=143.62 beta=126.42 gamma=66.50
Fractional positions:
1 Rh 0.508 0.508 0.000
2 W 0.984 0.984 0.000
3 Sc 0.254 0.754 0.500
4 W 0.755 0.255 0.500

Computed properties:
The crystal system is orthorhombic. As for the symmetry: Imm2 (44). The calculation puts the total moment at 0.0 μB/cell.

---

Entry Q
A relaxed ScRhW2 crystal, computed with PBE-GGA.

Unit cell a=9.498 b=9.498 c=9.498 alpha=17.44 beta=17.44 gamma=17.44
Fractional positions:
1 W 0.505 0.505 0.505
2 Sc 0.750 0.750 0.750
3 Rh 0.250 0.250 0.250
4 W 0.995 0.995 0.995

Computed properties:
The crystal system is trigonal. As for the symmetry: R-3m (166). The calculation puts the total moment at 0.0 μB/cell.

---

Entry R
A relaxed ScRhW2 crystal, computed with PBE-GGA.

Unit cell a=5.422 b=5.422 c=4.307 alpha=66.61 beta=66.61 gamma=35.12
Fractional positions:
1 W 0.004 0.004 0.996
2 Rh 0.750 0.750 0.750
3 W 0.496 0.496 0.504
4 Sc 0.250 0.250 0.250

Computed properties:
The crystal system is orthorhombic. As for the symmetry: Immm (71). The calculation puts the total moment at 0.0 μB/cell.

---

Entry S
A relaxed ScRhW2 crystal, computed with PBE-GGA.

Unit cell a=2.781 b=4.578 c=5.257 alpha=90.00 beta=90.00 gamma=90.00
Fractional positions:
1 W 0.000 0.000 0.997
2 W 0.000 0.000 0.503
3 Sc 0.500 0.500 0.750
4 Rh 0.500 0.500 0.250

Computed properties:
The crystal system is orthorhombic. As for the symmetry: Pmmm (47). The calculation puts the total moment at 0.0 μB/cell.

---

Q: Which of them is the most stable? A: entry R.

---

Entry P
A relaxed ScRhW2 crystal, computed with PBE-GGA.

Unit cell a=4.519 b=4.519 c=4.519 alpha=60.00 beta=60.00 gamma=60.00
Fractional positions:
1 W 0.250 0.250 0.250
2 W 0.000 0.000 0.000
3 Sc 0.750 0.750 0.750
4 Rh 0.500 0.500 0.500

Computed properties:
The crystal system is cubic. As for the symmetry: F-43m (216). The calculation puts the total moment at 0.0 μB/cell.

---

Entry Q
A relaxed ScRhW2 crystal, computed with PBE-GGA.

Unit cell a=3.211 b=3.211 c=6.463 alpha=90.00 beta=90.00 gamma=90.00
Fractional positions:
1 W 0.000 0.000 0.022
2 Rh 0.000 0.000 0.496
3 W 0.500 0.500 0.238
4 Sc 0.500 0.500 0.744

Computed properties:
The crystal system is tetragonal. As for the symmetry: P4mm (99). The calculation puts the total moment at 0.0 μB/cell.

---

Entry R
A relaxed ScRhW2 crystal, computed with PBE-GGA.

Unit cell a=9.431 b=9.431 c=9.431 alpha=17.56 beta=17.56 gamma=17.56
Fractional positions:
1 W 0.998 0.998 0.998
2 W 0.246 0.246 0.246
3 Sc 0.753 0.753 0.753
4 Rh 0.502 0.502 0.502

Computed properties:
The crystal system is trigonal. As for the symmetry: R3m (160). The calculation puts the total moment at 0.0 μB/cell.

---

Entry S
A relaxed ScRhW2 crystal, computed with PBE-GGA.

Unit cell a=4.730 b=2.796 c=5.087 alpha=78.52 beta=90.00 gamma=90.00
Fractional positions:
1 Rh 0.500 0.250 0.250
2 Sc 0.500 0.750 0.750
3 W 0.000 0.015 0.996
4 W 0.000 0.485 0.504

Computed properties:
The crystal system is monoclinic. As for the symmetry: P2/m (10). The calculation puts the total moment at 0.0 μB/cell.

---

Q: Which of them is the most stable? A: entry Q.

---

Entry P
A relaxed Sc2RhW crystal, computed with PBE-GGA.

Unit cell a=5.487 b=5.487 c=5.487 alpha=138.68 beta=138.68 gamma=59.86
Fractional positions:
1 Sc 0.000 0.000 0.000
2 Rh 0.750 0.250 0.500
3 W 0.500 0.500 0.000
4 Sc 0.250 0.750 0.500

Computed properties:
The crystal system is tetragonal. As for the symmetry: I-4m2 (119). The calculation puts the total moment at 0.0 μB/cell.

---

Entry Q
A relaxed Sc2RhW crystal, computed with PBE-GGA.

Unit cell a=2.979 b=2.979 c=8.541 alpha=90.00 beta=90.00 gamma=90.01
Fractional positions:
1 Sc 0.500 0.500 0.290
2 Sc 0.000 0.000 0.951
3 Rh 0.500 0.500 0.728
4 W 0.000 0.000 0.531

Computed properties:
The crystal system is tetragonal. As for the symmetry: P4mm (99). The calculation puts the total moment at 0.0 μB/cell.

---

Q: Which of them is the most stable? A: entry Q.